Computed, not measured: a relaxed structure of CsRbAgCl4 at the GGA-PBE level of DFT.

Geometry as extended XYZ:
```
14
Lattice="3.667 -8.445 0.000 3.667 8.445 0.000 0.000 0.000 7.352" Properties=species:S:1:pos:R:3 pbc="T T T"
Cs 3.667 6.657 5.514
Cs 3.667 -6.657 1.838
Rb 3.667 1.905 5.514
Rb 3.667 -1.905 1.838
Ag 3.667 4.189 1.838
Ag 3.667 -4.189 5.514
Cl 1.834 4.222 0.000
Cl 1.834 4.222 3.676
Cl 3.667 6.796 1.838
Cl 3.667 1.557 1.838
Cl 1.834 -4.222 0.000
Cl 1.834 -4.222 3.676
Cl 3.667 -1.557 5.514
Cl 3.667 -6.796 5.514
```

Computed properties:
For the formation energy from raw total energies, the calculation gives -1.308 eV/atom. The space group is Cmcm.

Computed, not measured: a relaxed structure of Pm6Sm2DyTh at the GGA-PBE level of DFT.

Geometry as extended XYZ:
```
20
Lattice="4.620 -7.535 0.000 4.620 7.535 0.000 -1.598 0.000 9.788" Properties=species:S:1:pos:R:3 pbc="T T T"
Pm 2.433 4.237 1.831
Pm 3.088 4.797 5.440
Pm 3.755 4.797 9.242
Pm 3.113 1.573 3.713
Pm 6.008 4.237 3.063
Pm 5.328 1.573 1.181
Pm 2.314 -1.573 8.607
Pm 1.634 -4.237 6.725
Pm 4.529 -1.573 6.075
Pm 3.887 -4.797 0.546
Pm 4.554 -4.797 4.348
Pm 5.209 -4.237 7.957
Sm 2.162 0.692 0.455
Sm 1.363 -0.692 5.349
Sm 6.279 0.692 4.439
Sm 5.480 -0.692 9.333
Dy 3.421 1.410 7.341
Dy 4.221 -1.410 2.447
Th 4.221 7.214 2.447
Th 3.421 -7.214 7.341
```

Computed properties:
The space group is C2/c. The value obtained for the formation energy is 0.15 eV/atom.

Computed, not measured: a relaxed structure of Ti2NbOsPb at the GGA-PBE level of DFT.

Geometry as extended XYZ:
```
5
Lattice="4.623 0.000 0.000 0.000 4.623 0.000 0.000 0.000 5.262" Properties=species:S:1:pos:R:3 pbc="T T T"
Ti 0.000 2.312 0.000
Ti 2.312 0.000 0.000
Nb 0.000 0.000 0.000
Os 2.312 2.312 2.631
Pb 0.000 0.000 2.631
```

Computed properties:
The space group is P4/mmm. The value obtained for the formation energy is 1.59 eV/atom.